Material: TlIBr2
Method: DFT, PBE-GGA
State: relaxed

The structure in CIF format:
```
data_TlIBr2
_chemical_formula_sum 'Tl2 I2 Br4'
_space_group_name_H-M_alt 'P 1 21/m 1'
_space_group_IT_number 11
_cell_length_a 6.9105
_cell_length_b 4.9559
_cell_length_c 10.5164
_cell_angle_alpha 90.00
_cell_angle_beta 91.97
_cell_angle_gamma 90.00
loop_
_space_group_symop_operation_xyz
'x,y,z'
'-x,-y,-z'
'-x,y+1/2,-z'
'x,-y+1/2,z'
loop_
_atom_site_label
_atom_site_fract_x
_atom_site_fract_y
_atom_site_fract_z
Tl1 0.1046 0.2500 0.2791
I1 0.4977 0.2500 0.7681
Br1 0.1781 0.2500 0.6024
Br2 0.1888 0.7500 0.0704
```

Values from the calculation:
E_form (uncorrected): -0.461 eV per atom
M_tot: 0.00 μB/cell
VASP energy: -18.21 eV per cell

=====

Material: AlCoAu2
Method: DFT, PBE-GGA
State: relaxed

The structure in CIF format:
```
data_AlCoAu2
_chemical_formula_sum 'Al1 Co1 Au2'
_space_group_name_H-M_alt 'P 1 2/m 1'
_space_group_IT_number 10
_cell_length_a 4.6281
_cell_length_b 2.9976
_cell_length_c 4.7052
_cell_angle_alpha 90.00
_cell_angle_beta 108.34
_cell_angle_gamma 90.00
loop_
_space_group_symop_operation_xyz
'x,y,z'
'-x,-y,-z'
'-x,y,-z'
'x,-y,z'
loop_
_atom_site_label
_atom_site_fract_x
_atom_site_fract_y
_atom_site_fract_z
Al1 0.0000 0.0000 0.0000
Co1 0.0000 0.5000 0.5000
Au1 0.5000 0.0000 0.5000
Au2 0.5000 0.5000 0.0000
```

Values from the calculation:
M_tot: 0.93 μB/cell
VASP energy: -17.54 eV per cell

=====

- The lowest M_tot belongs to which entry?
  TlIBr2

=====

- Which value of VASP energy does entry 1 give?
  -18.21 eV per cell

=====

- M_tot of number 1 (TlIBr2)?
  0.00 μB/cell

=====

- Among the records above, which one has the highest VASP energy?
  AlCoAu2